[1]
The following is a PBE-GGA calculation of a relaxed Rb3TlBi2 crystal, from the Alexandria database.

Values from the calculation:
- Energy of formation from the pure elements: -278 meV/atom
- Polymorph energy (0 for the lowest one): 0 meV per atom
- SG: No. 72

a = 10.0616 Å, b = 10.0616 Å, c = 10.0616 Å
α = 125.72°, β = 74.80°, γ = 132.72°
Sites, in units of the cell vectors:
Rb 0.1743 0.6849 0.8592
Rb 0.2500 0.2500 0.0000
Rb 0.3257 0.1849 0.5105
Rb 0.6743 0.8151 0.4895
Rb 0.7500 0.7500 0.0000
Rb 0.8257 0.3151 0.1408
Tl 0.2500 0.7500 0.5000
Tl 0.7500 0.2500 0.5000
Bi 0.0970 0.3037 0.4006
Bi 0.4030 0.8037 0.2067
Bi 0.5970 0.1963 0.7933
Bi 0.9030 0.6963 0.5994

***

[2]
The following is a PBE-GGA calculation of a relaxed CoSi2Sb crystal, from the Alexandria database.

Values from the calculation:
- SG: No. 216
- Raw formation energy: 0.536 eV/atom

a = 4.5088 Å, b = 4.5088 Å, c = 4.5088 Å
α = 60.00°, β = 60.00°, γ = 60.00°
Sites, in units of the cell vectors:
Co 0.0000 0.0000 0.0000
Si 0.2500 0.2500 0.2500
Si 0.5000 0.5000 0.5000
Sb 0.7500 0.7500 0.7500

***

[3]
The following is a PBE-GGA calculation of a relaxed ZnCu2Au3 crystal, from the Alexandria database.

Values from the calculation:
- Energy of formation from the pure elements: -102 meV/atom
- Polymorph energy (0 for the lowest one): 0 meV per atom
- SG: No. 65

a = 6.7298 Å, b = 6.7298 Å, c = 6.8229 Å
α = 90.00°, β = 90.00°, γ = 142.98°
Sites, in units of the cell vectors:
Zn 0.1613 0.8387 0.0000
Zn 0.8387 0.1613 0.0000
Cu 0.1694 0.8306 0.5000
Cu 0.5000 0.5000 0.0000
Cu 0.5000 0.5000 0.5000
Cu 0.8306 0.1694 0.5000
Au 0.0000 0.0000 0.2593
Au 0.0000 0.0000 0.7407
Au 0.3335 0.6665 0.2499
Au 0.3335 0.6665 0.7501
Au 0.6665 0.3335 0.2499
Au 0.6665 0.3335 0.7501

***

[4]
The following is a PBE-GGA calculation of a relaxed Sr2ErPaS6 crystal, from the Alexandria database.

Values from the calculation:
- SG: No. 14
- Raw formation energy: -1.961 eV/atom

a = 6.9657 Å, b = 7.4291 Å, c = 12.2460 Å
α = 90.00°, β = 124.19°, γ = 90.00°
Sites, in units of the cell vectors:
Sr 0.2210 0.0790 0.2479
Sr 0.2210 0.4210 0.7479
Sr 0.7790 0.5790 0.2521
Sr 0.7790 0.9210 0.7521
Er 0.0000 0.0000 0.5000
Er 0.0000 0.5000 0.0000
Pa 0.5000 0.0000 0.0000
Pa 0.5000 0.5000 0.5000
S 0.1369 0.1932 0.9420
S 0.1369 0.3068 0.4420
S 0.2509 0.7000 0.9389
S 0.2509 0.8000 0.4389
S 0.3661 0.0359 0.7525
S 0.3661 0.4641 0.2525
S 0.6339 0.5359 0.7475
S 0.6339 0.9641 0.2475
S 0.7491 0.2000 0.5611
S 0.7491 0.3000 0.0611
S 0.8631 0.6932 0.5580
S 0.8631 0.8068 0.0580